No. 1
Material: Nd2Ga3Rh
Method: DFT, PBE
State: optimized geometry

CIF file:
```
data_Nd2Ga3Rh
_cell_length_a 5.8816
_cell_length_b 5.8816
_cell_length_c 8.9358
_cell_angle_alpha 112.74
_cell_angle_beta 112.74
_cell_angle_gamma 79.94
_symmetry_space_group_name_H-M 'P 1'
_symmetry_Int_Tables_number 1
_symmetry_space_group_name_Hall 'P 1'
loop_
_atom_site_label
_atom_site_type_symbol
_atom_site_fract_x
_atom_site_fract_y
_atom_site_fract_z
Nd1 Nd 0.7500 0.2500 0.5000
Nd2 Nd 0.2603 0.7397 0.0000
Nd3 Nd 0.7397 0.2603 0.0000
Nd4 Nd 0.2500 0.7500 0.5000
Ga1 Ga 0.6644 0.6644 0.8317
Ga2 Ga 0.1673 0.1673 0.8317
Ga3 Ga 0.1700 0.1700 0.3401
Ga4 Ga 0.3356 0.3356 0.1683
Ga5 Ga 0.8300 0.8300 0.6599
Ga6 Ga 0.8327 0.8327 0.1683
Rh1 Rh 0.3365 0.3365 0.6730
Rh2 Rh 0.6635 0.6635 0.3270
```

Results
* energy of formation: -16.10 kcal/mol of atoms
* Fermi-level density of states: 9.31 states/eV per cell
* volume: 262.8 Å³/cell
* final energy: -5.03 eV/atom

No. 2
Material: CsLi2ReS
Method: DFT, PBE
State: optimized geometry

CIF file:
```
data_CsLi2ReS
_cell_length_a 5.1728
_cell_length_b 4.4338
_cell_length_c 5.1728
_cell_angle_alpha 90.00
_cell_angle_beta 90.00
_cell_angle_gamma 90.00
_symmetry_space_group_name_H-M 'P 1'
_symmetry_Int_Tables_number 1
_symmetry_space_group_name_Hall 'P 1'
loop_
_atom_site_label
_atom_site_type_symbol
_atom_site_fract_x
_atom_site_fract_y
_atom_site_fract_z
Re1 Re 0.0000 0.5000 0.0000
Li1 Li 0.5000 0.0000 0.0000
Li2 Li 0.0000 0.0000 0.5000
S1 S 0.0000 0.0000 0.0000
Cs1 Cs 0.5000 0.5000 0.5000
```

Results
* raw formation energy: 331 meV/atom
* Fermi-level density of states: 3.23 states/eV per cell
* volume: 118.6 Å³/cell
* final energy: -3.92 eV/atom

No. 3
Material: Cd2SnIF
Method: DFT, PBE
State: optimized geometry

CIF file:
```
data_Cd2SnIF
_cell_length_a 5.6526
_cell_length_b 5.6526
_cell_length_c 4.4901
_cell_angle_alpha 90.00
_cell_angle_beta 90.00
_cell_angle_gamma 90.00
_symmetry_space_group_name_H-M 'P 1'
_symmetry_Int_Tables_number 1
_symmetry_space_group_name_Hall 'P 1'
loop_
_atom_site_label
_atom_site_type_symbol
_atom_site_fract_x
_atom_site_fract_y
_atom_site_fract_z
Sn1 Sn 0.0000 0.0000 0.0000
Cd1 Cd 0.0000 0.5000 0.0000
Cd2 Cd 0.5000 0.0000 0.0000
F1 F 0.0000 0.0000 0.5000
I1 I 0.5000 0.5000 0.5000
```

Results
* raw formation energy: -696 meV/atom
* Fermi-level density of states: 1.48 states/eV per cell
* volume: 143.5 Å³/cell
* final energy: -2.55 eV/atom

No. 4
Material: ScSi2As
Method: DFT, PBE
State: optimized geometry

CIF file:
```
data_ScSi2As
_cell_length_a 7.0603
_cell_length_b 7.0603
_cell_length_c 7.0603
_cell_angle_alpha 29.38
_cell_angle_beta 29.38
_cell_angle_gamma 29.38
_symmetry_space_group_name_H-M 'P 1'
_symmetry_Int_Tables_number 1
_symmetry_space_group_name_Hall 'P 1'
loop_
_atom_site_label
_atom_site_type_symbol
_atom_site_fract_x
_atom_site_fract_y
_atom_site_fract_z
Si1 Si 0.2562 0.2562 0.2562
Si2 Si 0.9881 0.9881 0.9881
Sc1 Sc 0.7489 0.7489 0.7489
As1 As 0.5067 0.5067 0.5067
```

Results
* raw formation energy: -179 meV/atom
* Fermi-level density of states: 1.24 states/eV per cell
* volume: 75.0 Å³/cell
* final energy: -5.64 eV/atom

No. 5
Material: PuGa3Cu
Method: DFT, PBE
State: optimized geometry

CIF file:
```
data_PuGa3Cu
_cell_length_a 4.2140
_cell_length_b 4.2151
_cell_length_c 5.9984
_cell_angle_alpha 69.40
_cell_angle_beta 69.46
_cell_angle_gamma 90.00
_symmetry_space_group_name_H-M 'P 1'
_symmetry_Int_Tables_number 1
_symmetry_space_group_name_Hall 'P 1'
loop_
_atom_site_label
_atom_site_type_symbol
_atom_site_fract_x
_atom_site_fract_y
_atom_site_fract_z
Ga1 Ga 0.8004 0.6043 0.1041
Ga2 Ga 0.1440 0.4475 0.4171
Ga3 Ga 0.6446 0.9480 0.4165
Pu1 Pu 0.3920 0.1955 0.9213
Cu1 Cu 0.0268 0.8299 0.6522
```

Results
* energy of formation: -7.05 kcal/mol of atoms
* Fermi-level density of states: 12.29 states/eV per cell
* volume: 92.5 Å³/cell
* final energy: -5.81 eV/atom
* distance to the lowest polymorph of the same formula: 0 meV per atom

No. 6
Material: Th3GaCu3
Method: DFT, PBE
State: optimized geometry

CIF file:
```
data_Th3GaCu3
_cell_length_a 4.2968
_cell_length_b 5.8159
_cell_length_c 13.4290
_cell_angle_alpha 83.55
_cell_angle_beta 80.79
_cell_angle_gamma 68.32
_symmetry_space_group_name_H-M 'P 1'
_symmetry_Int_Tables_number 1
_symmetry_space_group_name_Hall 'P 1'
loop_
_atom_site_label
_atom_site_type_symbol
_atom_site_fract_x
_atom_site_fract_y
_atom_site_fract_z
Cu1 Cu 0.8692 0.7209 0.5406
Cu2 Cu 0.1308 0.2791 0.4594
Cu3 Cu 0.8954 0.1352 0.0739
Cu4 Cu 0.0431 0.1475 0.7663
Cu5 Cu 0.1046 0.8648 0.9261
Cu6 Cu 0.9569 0.8525 0.2337
Th1 Th 0.3942 0.2899 0.9218
Th2 Th 0.7485 0.7221 0.7809
Th3 Th 0.5357 0.3112 0.6174
Th4 Th 0.6058 0.7101 0.0782
Th5 Th 0.2515 0.2779 0.2191
Th6 Th 0.4643 0.6888 0.3826
Ga1 Ga 0.7507 0.1047 0.3938
Ga2 Ga 0.2493 0.8953 0.6062
```

Results
* energy of formation: -5.29 kcal/mol of atoms
* Fermi-level density of states: 14.55 states/eV per cell
* volume: 307.3 Å³/cell
* final energy: -5.60 eV/atom

No. 7
Material: ScSn2Pb
Method: DFT, PBE
State: optimized geometry

CIF file:
```
data_ScSn2Pb
_cell_length_a 4.0478
_cell_length_b 4.0478
_cell_length_c 6.3746
_cell_angle_alpha 90.00
_cell_angle_beta 90.00
_cell_angle_gamma 90.00
_symmetry_space_group_name_H-M 'P 1'
_symmetry_Int_Tables_number 1
_symmetry_space_group_name_Hall 'P 1'
loop_
_atom_site_label
_atom_site_type_symbol
_atom_site_fract_x
_atom_site_fract_y
_atom_site_fract_z
Pb1 Pb 0.5000 0.5000 0.5000
Sn1 Sn 0.0000 0.0000 0.7697
Sn2 Sn 0.0000 0.0000 0.2303
Sc1 Sc 0.5000 0.5000 0.0000
```

Results
* energy of formation: -5.09 kcal/mol of atoms
* Fermi-level density of states: 2.13 states/eV per cell
* volume: 104.4 Å³/cell
* final energy: -4.73 eV/atom

No. 8
Material: KSbTe3Pb
Method: DFT, PBE
State: optimized geometry

CIF file:
```
data_KSbTe3Pb
_cell_length_a 4.4777
_cell_length_b 9.8976
_cell_length_c 10.6587
_cell_angle_alpha 103.08
_cell_angle_beta 90.00
_cell_angle_gamma 90.00
_symmetry_space_group_name_H-M 'P 1'
_symmetry_Int_Tables_number 1
_symmetry_space_group_name_Hall 'P 1'
loop_
_atom_site_label
_atom_site_type_symbol
_atom_site_fract_x
_atom_site_fract_y
_atom_site_fract_z
K1 K 0.7500 0.8280 0.7934
K2 K 0.2500 0.1720 0.2066
Te1 Te 0.7500 0.3392 0.5477
Te2 Te 0.2500 0.5747 0.8599
Te3 Te 0.7500 0.8646 0.1580
Te4 Te 0.7500 0.4253 0.1401
Te5 Te 0.2500 0.1354 0.8420
Te6 Te 0.2500 0.6608 0.4523
Sb1 Sb 0.2500 0.6388 0.1484
Sb2 Sb 0.7500 0.3612 0.8516
Pb1 Pb 0.2500 0.1345 0.5565
Pb2 Pb 0.7500 0.8655 0.4435
```

Results
* raw formation energy: -421 meV/atom
* volume: 460.1 Å³/cell
* final energy: -3.48 eV/atom

Which formula does entry 4 have?
ScSi2As

Number 5 is which compound?
PuGa3Cu

Which value of volume does entry 2 give?
118.6 Å³/cell